Density functional theory data (PBE) for a geometry-optimized Ca4InSn3 structure.

Properties
For the total energy, the calculation gives -3.424 eV/atom. For the calculated volume, the calculation gives 28.3 Å³/atom. Its space-group type is Pmma. Its formation energy is -579 meV per atom.

Cell lengths 5.6801, 7.1933, 11.0789 Å; angles 90.00, 90.00, 90.00 degrees
Element x y z (fractional)
Ca (0.5000, 0.7507, 0.0000)
Ca (0.5000, 0.7507, 0.5000)
Ca (0.5000, 0.2493, 0.0000)
Ca (0.5000, 0.2493, 0.5000)
Ca (0.1058, 0.7502, 0.7500)
Ca (0.8942, 0.7502, 0.2500)
Ca (0.8942, 0.2498, 0.2500)
Ca (0.1058, 0.2498, 0.7500)
Sn (0.0000, 0.0000, 0.0000)
Sn (0.0000, 0.0000, 0.5000)
Sn (0.6211, 0.0000, 0.7500)
Sn (0.3789, 0.0000, 0.2500)
Sn (0.6150, 0.5000, 0.7500)
Sn (0.3850, 0.5000, 0.2500)
In (0.0000, 0.5000, 0.0000)
In (0.0000, 0.5000, 0.5000)

=====

Density functional theory data (PBE) for a geometry-optimized CaIn2Sn structure.

Properties
For the total energy, the calculation gives -3.066 eV/atom. For the calculated volume, the calculation gives 31.3 Å³/atom. Its space-group type is R3m. Its formation energy is -196 meV per atom.

Cell lengths 4.5362, 4.5362, 7.4941 Å; angles 72.38, 72.38, 60.00 degrees
Element x y z (fractional)
Ca (0.6682, 0.6682, 0.9955)
In (0.0938, 0.0938, 0.7185)
In (0.2400, 0.2400, 0.2801)
Sn (0.4980, 0.4980, 0.5059)

=====

Density functional theory data (PBE) for a geometry-optimized CaIn4Sn structure.

Properties
For the total energy, the calculation gives -2.941 eV/atom. For the calculated volume, the calculation gives 28.0 Å³/atom. Its space-group type is F-43m. Its formation energy is -115 meV per atom.

Cell lengths 6.1962, 6.1962, 6.1962 Å; angles 60.00, 60.00, 60.00 degrees
Element x y z (fractional)
Ca (0.2500, 0.2500, 0.2500)
Sn (0.0000, 0.0000, 0.0000)
In (0.6251, 0.6251, 0.1248)
In (0.6251, 0.1248, 0.6251)
In (0.6251, 0.6251, 0.6251)
In (0.1248, 0.6251, 0.6251)

=====

Density functional theory data (PBE) for a geometry-optimized CaIn2Sn2 structure.

Properties
For the total energy, the calculation gives -3.269 eV/atom. For the calculated volume, the calculation gives 28.2 Å³/atom. Its space-group type is P4/mbm. Its formation energy is -173 meV per atom.

Cell lengths 8.5399, 8.5399, 3.8633 Å; angles 90.00, 90.00, 90.00 degrees
Element x y z (fractional)
Ca (0.0000, 0.0000, 0.0000)
Ca (0.5000, 0.5000, 0.0000)
Sn (0.1676, 0.6676, 0.5000)
Sn (0.6676, 0.8324, 0.5000)
Sn (0.8324, 0.3324, 0.5000)
Sn (0.3324, 0.1676, 0.5000)
In (0.3712, 0.8712, 0.0000)
In (0.8712, 0.6288, 0.0000)
In (0.6288, 0.1288, 0.0000)
In (0.1288, 0.3712, 0.0000)

=====

Density functional theory data (PBE) for a geometry-optimized Ca2In6Sn structure.

Properties
For the total energy, the calculation gives -2.940 eV/atom. For the calculated volume, the calculation gives 27.1 Å³/atom. Its space-group type is P6/mmm. Its formation energy is -225 meV per atom.

Cell lengths 3.4339, 9.0575, 9.0540 Å; angles 120.01, 90.01, 90.00 degrees
Element x y z (fractional)
Ca (0.0000, 0.1666, 0.3333)
Ca (0.0000, 0.8334, 0.6667)
In (0.4988, 0.5000, 0.6688)
In (0.5012, 0.5000, 0.3312)
In (0.5012, 0.8312, 0.3312)
In (0.5000, 0.1688, 0.0000)
In (0.5000, 0.8312, 0.0000)
In (0.4988, 0.1688, 0.6688)
Sn (0.0000, 0.5000, 0.0000)

=====

Density functional theory data (PBE) for a geometry-optimized Ca2InSn9 structure.

Properties
For the total energy, the calculation gives -3.787 eV/atom. For the calculated volume, the calculation gives 27.2 Å³/atom. Its space-group type is P4/mmm. Its formation energy is -223 meV per atom.

Cell lengths 4.7145, 4.7145, 14.7053 Å; angles 90.00, 90.00, 90.00 degrees
Element x y z (fractional)
Ca (0.0000, 0.0000, 0.3409)
Ca (0.0000, 0.0000, 0.6591)
In (0.0000, 0.0000, 0.0000)
Sn (0.5000, 0.5000, 0.0000)
Sn (0.5000, 0.5000, 0.3336)
Sn (0.5000, 0.5000, 0.6664)
Sn (0.5000, 0.0000, 0.1693)
Sn (0.5000, 0.0000, 0.5000)
Sn (0.5000, 0.0000, 0.8307)
Sn (0.0000, 0.5000, 0.1693)
Sn (0.0000, 0.5000, 0.5000)
Sn (0.0000, 0.5000, 0.8307)

=====

Density functional theory data (PBE) for a geometry-optimized Ca3InSn3 structure.

Properties
For the total energy, the calculation gives -3.511 eV/atom. For the calculated volume, the calculation gives 29.7 Å³/atom. Its space-group type is C2/m. Its formation energy is -547 meV per atom.

Cell lengths 4.8428, 6.4097, 14.7389 Å; angles 81.09, 80.54, 67.80 degrees
Element x y z (fractional)
Ca (0.5118, 0.3517, 0.6248)
Ca (0.4882, 0.6483, 0.3752)
Ca (0.2796, 0.2182, 0.2226)
Ca (0.7204, 0.7818, 0.7774)
Ca (0.3930, 0.2893, 0.9247)
Ca (0.6070, 0.7107, 0.0753)
In (0.7861, 0.0434, 0.3844)
In (0.2139, 0.9566, 0.6156)
Sn (0.8652, 0.7163, 0.5533)
Sn (0.1348, 0.2837, 0.4467)
Sn (0.1129, 0.8491, 0.9252)
Sn (0.8871, 0.1509, 0.0748)
Sn (0.0034, 0.7699, 0.2233)
Sn (0.9966, 0.2301, 0.7767)

=====

Density functional theory data (PBE) for a geometry-optimized Ca5In2Sn structure.

Properties
For the total energy, the calculation gives -2.888 eV/atom. For the calculated volume, the calculation gives 32.5 Å³/atom. Its space-group type is I4/mcm. Its formation energy is -452 meV per atom.

Cell lengths 8.3471, 8.3471, 9.5093 Å; angles 116.03, 116.03, 90.00 degrees
Element x y z (fractional)
Ca (0.5275, 0.6809, 0.7083)
Ca (0.8191, 0.9725, 0.2917)
Ca (0.0000, 0.0000, 0.0000)
Ca (0.5000, 0.5000, 0.0000)
Ca (0.1809, 0.0275, 0.7083)
Ca (0.6809, 0.1809, 0.7083)
Ca (0.0275, 0.5275, 0.7083)
Ca (0.3191, 0.8191, 0.2917)
Ca (0.9725, 0.4725, 0.2917)
Ca (0.4725, 0.3191, 0.2917)
In (0.1221, 0.3779, 0.0000)
In (0.6221, 0.1221, 0.0000)
In (0.3779, 0.8779, 0.0000)
In (0.8779, 0.6221, 0.0000)
Sn (0.7500, 0.7500, 0.5000)
Sn (0.2500, 0.2500, 0.5000)

=====

Density functional theory data (PBE) for a geometry-optimized Ca2InSn2 structure.

Properties
For the total energy, the calculation gives -3.465 eV/atom. For the calculated volume, the calculation gives 29.3 Å³/atom. Its space-group type is P4/mnc. Its formation energy is -516 meV per atom.

Cell lengths 7.8266, 7.8266, 9.5624 Å; angles 90.00, 90.00, 90.00 degrees
Element x y z (fractional)
Ca (0.6675, 0.8316, 0.5000)
Ca (0.3325, 0.1684, 0.5000)
Ca (0.8325, 0.3316, 0.0000)
Ca (0.1675, 0.6684, 0.0000)
Ca (0.8316, 0.3325, 0.5000)
Ca (0.1684, 0.6675, 0.5000)
Ca (0.3316, 0.1675, 0.0000)
Ca (0.6684, 0.8325, 0.0000)
In (0.5000, 0.5000, 0.1971)
In (0.0000, 0.0000, 0.6971)
In (0.5000, 0.5000, 0.8029)
In (0.0000, 0.0000, 0.3029)
Sn (0.3663, 0.8663, 0.2500)
Sn (0.6337, 0.1337, 0.2500)
Sn (0.1337, 0.3663, 0.7500)
Sn (0.8663, 0.6337, 0.7500)
Sn (0.8663, 0.6337, 0.2500)
Sn (0.1337, 0.3663, 0.2500)
Sn (0.3663, 0.8663, 0.7500)
Sn (0.6337, 0.1337, 0.7500)

=====

Density functional theory data (PBE) for a geometry-optimized Ca2InSn2 structure.

Properties
For the total energy, the calculation gives -3.127 eV/atom. For the calculated volume, the calculation gives 35.1 Å³/atom. Its space-group type is I4/mmm. Its formation energy is -177 meV per atom.

Cell lengths 5.2952, 5.2952, 7.2891 Å; angles 68.70, 68.70, 90.00 degrees
Element x y z (fractional)
Ca (0.7500, 0.2500, 0.5000)
Ca (0.2500, 0.7500, 0.5000)
Sn (0.3923, 0.3923, 0.2154)
Sn (0.6077, 0.6077, 0.7846)
In (0.0000, 0.0000, 0.0000)

=====

Density functional theory data (PBE) for a geometry-optimized CaIn2Sn2 structure.

Properties
For the total energy, the calculation gives -3.267 eV/atom. For the calculated volume, the calculation gives 28.4 Å³/atom. Its space-group type is P4/mbm. Its formation energy is -170 meV per atom.

Cell lengths 8.3983, 8.3983, 4.0315 Å; angles 90.00, 90.00, 90.00 degrees
Element x y z (fractional)
Ca (0.0000, 0.0000, 0.0000)
Ca (0.5000, 0.5000, 0.0000)
Sn (0.3652, 0.8652, 0.0000)
Sn (0.8652, 0.6348, 0.0000)
Sn (0.6348, 0.1348, 0.0000)
Sn (0.1348, 0.3652, 0.0000)
In (0.1602, 0.6602, 0.5000)
In (0.6602, 0.8398, 0.5000)
In (0.8398, 0.3398, 0.5000)
In (0.3398, 0.1602, 0.5000)

=====

Density functional theory data (PBE) for a geometry-optimized Ca2InSn2 structure.

Properties
For the total energy, the calculation gives -3.451 eV/atom. For the calculated volume, the calculation gives 29.2 Å³/atom. Its space-group type is P4/mbm. Its formation energy is -502 meV per atom.

Cell lengths 7.8200, 7.8200, 4.7698 Å; angles 90.00, 90.00, 90.00 degrees
Element x y z (fractional)
Ca (0.1700, 0.6700, 0.5000)
Ca (0.6700, 0.8300, 0.5000)
Ca (0.8300, 0.3300, 0.5000)
Ca (0.3300, 0.1700, 0.5000)
Sn (0.3673, 0.8673, 0.0000)
Sn (0.8673, 0.6327, 0.0000)
Sn (0.6327, 0.1327, 0.0000)
Sn (0.1327, 0.3673, 0.0000)
In (0.0000, 0.0000, 0.0000)
In (0.5000, 0.5000, 0.0000)

=====

Number 3 is which compound? CaIn4Sn

=====

Copy entry 5 word for word.
Density functional theory data (PBE) for a geometry-optimized Ca2In6Sn structure.

Properties
For the total energy, the calculation gives -2.940 eV/atom. For the calculated volume, the calculation gives 27.1 Å³/atom. Its space-group type is P6/mmm. Its formation energy is -225 meV per atom.

Cell lengths 3.4339, 9.0575, 9.0540 Å; angles 120.01, 90.01, 90.00 degrees
Element x y z (fractional)
Ca (0.0000, 0.1666, 0.3333)
Ca (0.0000, 0.8334, 0.6667)
In (0.4988, 0.5000, 0.6688)
In (0.5012, 0.5000, 0.3312)
In (0.5012, 0.8312, 0.3312)
In (0.5000, 0.1688, 0.0000)
In (0.5000, 0.8312, 0.0000)
In (0.4988, 0.1688, 0.6688)
Sn (0.0000, 0.5000, 0.0000)

=====

Which of these has the highest calculated volume? number 10